# 1
VASP calculation (PBE) on a relaxed Ac2In4GaAu3 crystal.

- VASP energy: -3.756 eV per atom

The structure in POSCAR format:
```
Ac2In4GaAu3
1.0
-0.023 4.000 2.497
2.439 -2.127 3.429
9.865 3.198 -5.032
In Ga Ac Au
4 1 2 3
Cartesian
6.193 4.011 -1.916
4.880 0.123 -0.153
0.000 0.000 0.000
1.208 0.936 2.963
6.140 2.536 0.447
8.538 1.309 -2.018
2.535 2.826 -0.050
8.504 4.761 -3.095
4.932 1.599 -2.516
2.569 -0.626 1.026
```

---

# 2
VASP calculation (PBE) on a relaxed Ac2Ga4IrAu3 crystal.

- VASP energy: -4.554 eV per atom

The structure in POSCAR format:
```
Ac2Ga4IrAu3
1.0
4.512 0.000 0.000
0.000 4.512 0.000
0.000 0.000 10.680
Ga Ac Au Ir
4 2 3 1
Cartesian
0.000 2.256 4.067
0.000 0.000 0.000
2.256 0.000 6.613
2.256 2.256 0.000
2.256 0.000 2.722
0.000 2.256 7.958
2.256 0.000 9.232
0.000 2.256 1.448
0.000 0.000 5.340
2.256 2.256 5.340
```

---

# 3
VASP calculation (PBE) on a relaxed AcGa4IrAu2 crystal.

- VASP energy: -4.393 eV per atom

The structure in POSCAR format:
```
AcGa4IrAu2
1.0
4.440 0.000 0.000
2.220 3.845 0.000
2.220 1.282 10.015
Ac Ir Ga Au
1 1 4 2
Cartesian
0.000 0.000 0.000
4.440 2.563 5.008
2.220 1.282 5.682
4.440 2.563 2.484
4.440 2.563 7.531
6.659 3.845 4.333
2.220 1.282 1.995
6.659 3.845 8.020
```

---

# 4
VASP calculation (PBE) on a relaxed AcLaGaAu crystal.

- VASP energy: -4.446 eV per atom

The structure in POSCAR format:
```
AcLaGaAu
1.0
-2.902 -1.218 -4.465
2.318 -2.785 -4.089
-1.482 -5.168 -0.969
Au La Ac Ga
1 1 1 1
Cartesian
0.000 0.000 0.000
-0.517 -2.293 -2.381
-1.550 -6.878 -7.142
-1.033 -4.586 -4.761
```

---

# 5
VASP calculation (PBE) on a relaxed LiAc2GaAu6 crystal.

- VASP energy: -3.843 eV per atom

The structure in POSCAR format:
```
LiAc2GaAu6
1.0
-3.532 -5.985 5.161
5.194 -0.860 2.557
-0.189 -0.113 7.043
Au Ac Li Ga
6 2 1 1
Cartesian
0.805 -0.895 4.761
0.668 -6.062 10.000
0.229 -1.831 8.943
1.245 -5.126 5.818
-1.371 -4.693 4.530
2.844 -2.264 10.231
-1.313 -4.511 7.849
2.787 -2.446 6.913
0.000 0.000 0.000
0.831 -3.422 3.859
```

---

# 6
VASP calculation (PBE) on a relaxed LiAcGaAu6 crystal.

- VASP energy: -3.470 eV per atom

The structure in POSCAR format:
```
LiAcGaAu6
1.0
6.049 0.000 0.000
0.000 9.365 0.000
-3.025 -4.682 7.315
Au Ga Li Ac
12 2 2 2
Cartesian
4.447 -0.138 2.207
4.447 4.820 2.207
0.000 7.024 1.704
-1.423 -0.138 5.107
1.423 4.820 5.107
-1.423 4.820 5.107
3.025 -2.341 5.610
3.025 2.341 2.690
1.423 -0.138 5.107
1.602 -0.138 2.207
0.000 2.341 4.624
1.602 4.820 2.207
3.025 4.682 0.000
3.025 0.000 0.000
1.512 -2.341 3.657
-1.512 -2.341 3.657
3.025 2.341 6.043
0.000 2.341 1.271
```

---

# 7
VASP calculation (PBE) on a relaxed LiAcGa4Au2 crystal.

- VASP energy: -3.554 eV per atom

The structure in POSCAR format:
```
LiAcGa4Au2
1.0
-1.737 1.114 3.965
-1.092 -3.188 2.937
7.570 -0.277 5.915
Au Ga Ac Li
2 4 1 1
Cartesian
3.033 -1.789 9.390
1.708 -0.562 3.426
4.862 -1.054 7.466
4.304 -0.436 4.528
-0.121 -1.297 5.350
0.438 -1.915 8.288
0.000 0.000 0.000
2.371 -1.175 6.408
```

---

# 8
VASP calculation (PBE) on a relaxed LiAcGaAu crystal.

- Relative energy among the computed polymorphs: 0.43 eV per formula unit

The structure in POSCAR format:
```
LiAcGaAu
1.0
-2.954 -4.029 -1.413
1.624 -3.229 -3.728
1.456 -4.836 1.207
Ga Ac Au Li
1 1 1 1
Cartesian
0.031 -3.024 -0.984
0.063 -6.047 -1.967
0.094 -9.071 -2.951
0.000 0.000 0.000
```

---

What did the first record say?
VASP calculation (PBE) on a relaxed Ac2In4GaAu3 crystal.

- VASP energy: -3.756 eV per atom

The structure in POSCAR format:
```
Ac2In4GaAu3
1.0
-0.023 4.000 2.497
2.439 -2.127 3.429
9.865 3.198 -5.032
In Ga Ac Au
4 1 2 3
Cartesian
6.193 4.011 -1.916
4.880 0.123 -0.153
0.000 0.000 0.000
1.208 0.936 2.963
6.140 2.536 0.447
8.538 1.309 -2.018
2.535 2.826 -0.050
8.504 4.761 -3.095
4.932 1.599 -2.516
2.569 -0.626 1.026
```